(1)
Density functional theory data (PBE) for HfCuHgIr2 after structural relaxation.

Calculated values
DFT formation energy in kJ/mol of atoms: 137
Total DFT energy (no corrections) in eV/atom: -4.99

Lattice parameters (Å, degrees): 4.9287 4.4493 4.9287 90.00 90.00 90.00
With the nearest neighbours (Å) after each atom.
Positions (direct):
1 Ir 0.0000 0.0000 0.5000  2 Hg 2.46
2 Ir 0.5000 0.0000 0.0000  2 Hg 2.46
3 Hf 0.5000 0.5000 0.5000  8 Ir 3.32, 4 Cu 3.49
4 Cu 0.0000 0.5000 0.0000  2 Hg 2.22
5 Hg 0.0000 0.0000 0.0000  2 Cu 2.22, 4 Ir 2.46

---

(2)
Density functional theory data (PBE) for FePb after structural relaxation.

Calculated values
DFT formation energy in kJ/mol of atoms: 80
Total DFT energy (no corrections) in eV/atom: -5.26

Lattice parameters (Å, degrees): 4.7827 4.7827 4.7827 64.99 64.99 64.99
With the nearest neighbours (Å) after each atom.
Positions (direct):
1 Fe 0.1059 0.1059 0.1059  1 Fe 2.38
2 Fe 0.8941 0.8941 0.8941  1 Fe 2.38
3 Pb 0.3624 0.3624 0.3624  4 Fe 2.89-3.09, 4 Pb 3.04-3.10
4 Pb 0.6376 0.6376 0.6376  4 Fe 2.89-3.09, 4 Pb 3.04-3.10

---

(3)
Density functional theory data (PBE) for NaAcErAl after structural relaxation.

Calculated values
DFT formation energy in kJ/mol of atoms: 1
Total DFT energy (no corrections) in eV/atom: -3.42

Lattice parameters (Å, degrees): 5.5155 5.5155 5.5155 60.00 60.00 60.00
With the nearest neighbours (Å) after each atom.
Positions (direct):
1 Er 0.7500 0.7500 0.7500  4 Na 3.38, 4 Al 3.38
2 Ac 0.2500 0.2500 0.2500  4 Al 3.38, 4 Na 3.38
3 Na 0.5000 0.5000 0.5000  4 Er 3.38, 4 Ac 3.38
4 Al 0.0000 0.0000 0.0000  4 Ac 3.38, 4 Er 3.38

---

(4)
Density functional theory data (PBE) for Cd2CoMo after structural relaxation.

Calculated values
DFT formation energy in kJ/mol of atoms: 67
E above lowest polymorph in eV per atom: 0.512
Total DFT energy (no corrections) in eV/atom: -4.24

Lattice parameters (Å, degrees): 4.5858 4.5858 4.5858 60.00 60.00 60.00
With the nearest neighbours (Å) after each atom.
Positions (direct):
1 Mo 0.5000 0.5000 0.5000  8 Cd 2.81
2 Cd 0.2500 0.2500 0.2500  4 Mo 2.81, 4 Co 2.81
3 Cd 0.7500 0.7500 0.7500  4 Mo 2.81, 4 Co 2.81
4 Co 0.0000 0.0000 0.0000  8 Cd 2.81

---

(5)
Density functional theory data (PBE) for Be17FeRu after structural relaxation.

Calculated values
DFT formation energy in kJ/mol of atoms: -13
Total DFT energy (no corrections) in eV/atom: -4.40

Lattice parameters (Å, degrees): 5.4245 5.4245 5.4245 82.65 82.65 82.65
With the nearest neighbours (Å) after each atom.
Positions (direct):
1 Be 0.0017 0.3060 0.6922  8 Be 2.08-2.22
2 Be 0.0017 0.6922 0.3060  8 Be 2.08-2.22
3 Be 0.3498 0.3498 0.8378  9 Be 2.04-2.26
4 Be 0.9991 0.9991 0.4998  10 Be 2.08-2.18
5 Be 0.6500 0.1602 0.6500  9 Be 2.04-2.27
6 Be 0.8983 0.8983 0.8983  7 Be 2.17-2.27
7 Be 0.1043 0.1043 0.1043  7 Be 2.17-2.26
8 Be 0.6500 0.6500 0.1602  9 Be 2.04-2.27
9 Be 0.9991 0.4998 0.9991  10 Be 2.08-2.18
10 Be 0.3060 0.0017 0.6922  8 Be 2.08-2.22
11 Be 0.1602 0.6500 0.6500  9 Be 2.04-2.27
12 Be 0.6922 0.0017 0.3060  8 Be 2.08-2.22
13 Be 0.6922 0.3060 0.0017  8 Be 2.08-2.22
14 Be 0.3498 0.8378 0.3498  9 Be 2.04-2.26
15 Be 0.8378 0.3498 0.3498  9 Be 2.04-2.26
16 Be 0.3060 0.6922 0.0017  8 Be 2.08-2.22
17 Be 0.4998 0.9991 0.9991  10 Be 2.08-2.18
18 Fe 0.3392 0.3392 0.3392  19 Be 2.47-2.76
19 Ru 0.6628 0.6628 0.6628  19 Be 2.48-2.75

---

(6)
Density functional theory data (PBE) for Ti2NbTlCo after structural relaxation.

Calculated values
DFT formation energy in kJ/mol of atoms: 162
Total DFT energy (no corrections) in eV/atom: -5.39

Lattice parameters (Å, degrees): 4.9767 4.5580 4.9767 90.00 90.00 90.00
With the nearest neighbours (Å) after each atom.
Positions (direct):
1 Ti 0.0000 0.0000 0.5000  2 Tl 2.49
2 Ti 0.5000 0.0000 0.0000  2 Tl 2.49
3 Co 0.0000 0.5000 0.0000  2 Tl 2.28
4 Nb 0.5000 0.5000 0.5000  8 Ti 3.37, 4 Co 3.52
5 Tl 0.0000 0.0000 0.0000  2 Co 2.28, 4 Ti 2.49

---

(7)
Density functional theory data (PBE) for Cs3TbSe3 after structural relaxation.

Calculated values
Energy relative to the elements, uncorrected in eV/atom: -1.429
Total DFT energy (no corrections) in eV/atom: -3.95

Lattice parameters (Å, degrees): 9.0134 9.4680 15.1285 90.00 90.00 102.18
With the nearest neighbours (Å) after each atom.
Positions (direct):
1 Tb 0.6063 0.6615 0.4347  4 Se 2.70-2.79
2 Tb 0.1063 0.1615 0.0653  4 Se 2.70-2.79
3 Tb 0.3937 0.3385 0.5653  4 Se 2.70-2.79
4 Tb 0.8937 0.8385 0.9347  4 Se 2.70-2.79
5 Se 0.4668 0.6332 0.6001  2 Tb 2.78-2.79
6 Se 0.9767 0.3023 0.1903  1 Tb 2.72
7 Se 0.5332 0.3668 0.3999  2 Tb 2.78-2.79
8 Se 0.4767 0.8023 0.3097  1 Tb 2.72
9 Se 0.0332 0.8668 0.1001  2 Tb 2.78-2.79
10 Se 0.5233 0.1977 0.6903  1 Tb 2.72
11 Se 0.4057 0.2722 0.0432  1 Tb 2.70
12 Se 0.0943 0.2278 0.5432  1 Tb 2.70
13 Se 0.5943 0.7278 0.9568  1 Tb 2.70
14 Se 0.9668 0.1332 0.8999  2 Tb 2.78-2.79
15 Se 0.9057 0.7722 0.4568  1 Tb 2.70
16 Se 0.0233 0.6977 0.8097  1 Tb 2.72
17 Cs 0.2788 0.6138 0.1099  5 Se 3.59-3.79
18 Cs 0.7212 0.3862 0.8901  5 Se 3.59-3.79
19 Cs 0.2212 0.8862 0.6099  5 Se 3.59-3.79
20 Cs 0.7928 0.9559 0.6745  6 Se 3.68-4.08
21 Cs 0.8626 0.4736 0.6236  4 Se 3.64-3.75
22 Cs 0.2072 0.0441 0.3255  6 Se 3.68-4.08
23 Cs 0.2928 0.4559 0.8255  6 Se 3.68-4.08
24 Cs 0.7788 0.1138 0.3901  5 Se 3.59-3.79
25 Cs 0.6374 0.0264 0.1236  4 Se 3.64-3.75
26 Cs 0.1374 0.5264 0.3764  4 Se 3.64-3.75
27 Cs 0.3626 0.9736 0.8764  4 Se 3.64-3.75
28 Cs 0.7072 0.5441 0.1745  6 Se 3.68-4.08

---

(8)
Density functional theory data (PBE) for Ca3Pr3Au4 after structural relaxation.

Calculated values
DFT formation energy in kJ/mol of atoms: -65
Total DFT energy (no corrections) in eV/atom: -4.02

Lattice parameters (Å, degrees): 4.0845 8.3277 8.3277 90.47 90.00 90.00
With the nearest neighbours (Å) after each atom.
Positions (direct):
1 Ca 0.5000 0.1606 0.8394  6 Au 3.16-3.23
2 Ca 0.0000 0.4958 0.9998  4 Au 3.21-3.26
3 Ca 0.0000 0.0002 0.5042  4 Au 3.21-3.26
4 Au 0.0000 0.3648 0.6352  4 Ca 3.16-3.22, 4 Pr 3.18, 1 Au 3.23
5 Au 0.0000 0.8608 0.8631  4 Pr 3.15-3.17, 4 Ca 3.21-3.26, 1 Au 3.24
6 Au 0.0000 0.1369 0.1392  4 Pr 3.15-3.17, 4 Ca 3.21-3.26, 1 Au 3.24
7 Au 0.0000 0.6380 0.3620  6 Pr 3.20-3.21, 1 Au 3.23, 2 Ca 3.23
8 Pr 0.5000 0.3408 0.3439  6 Au 3.15-3.21
9 Pr 0.5000 0.8461 0.1539  6 Au 3.17-3.20
10 Pr 0.5000 0.6561 0.6592  6 Au 3.15-3.21

---

(9)
Density functional theory data (PBE) for HoTm7Tl4 after structural relaxation.

Calculated values
DFT formation energy in kJ/mol of atoms: 2
Total DFT energy (no corrections) in eV/atom: -3.76

Lattice parameters (Å, degrees): 5.7178 9.0269 7.9494 68.86 68.92 71.54
With the nearest neighbours (Å) after each atom.
Positions (direct):
1 Tm 0.9302 0.4096 0.7301  3 Tl 3.15-3.24, 3 Tm 3.33-3.52, 1 Ho 3.52
2 Tm 0.5000 0.0000 0.0000  2 Ho 2.86, 2 Tl 2.97
3 Tm 0.7963 0.8787 0.5286  3 Tl 3.27-3.49, 5 Tm 3.49-3.55
4 Tm 0.0698 0.5904 0.2699  3 Tl 3.15-3.24, 3 Tm 3.33-3.52, 1 Ho 3.52
5 Tm 0.7449 0.3000 0.2102  4 Tl 2.96-3.13
6 Tm 0.2037 0.1213 0.4714  3 Tl 3.27-3.49, 5 Tm 3.49-3.55
7 Tm 0.2551 0.7000 0.7898  4 Tl 2.96-3.13
8 Tl 0.5489 0.2891 0.6131  4 Tm 2.96-3.24, 1 Tl 3.25
9 Tl 0.4511 0.7109 0.3869  4 Tm 2.96-3.24, 1 Tl 3.25
10 Tl 0.6849 0.6619 0.9683  6 Tm 2.97-3.27, 1 Tl 3.25
11 Tl 0.3151 0.3381 0.0317  6 Tm 2.97-3.27, 1 Tl 3.25
12 Ho 0.0000 0.0000 0.0000  2 Tm 2.86

---

(10)
Density functional theory data (PBE) for ReBS2 after structural relaxation.

Calculated values
Energy relative to the elements, uncorrected in eV/atom: 0.259
Total DFT energy (no corrections) in eV/atom: -6.59

Lattice parameters (Å, degrees): 5.0147 5.0147 5.7558 64.18 64.18 90.00
With the nearest neighbours (Å) after each atom.
Positions (direct):
1 Re 0.0000 0.0000 0.0000  4 S 2.29
2 Re 0.7500 0.2500 0.5000  4 S 2.29
3 B 0.5000 0.5000 0.0000  4 S 1.94
4 B 0.2500 0.7500 0.5000  4 S 1.94
5 S 0.3750 0.4331 0.7500  2 B 1.94
6 S 0.1831 0.6250 0.2500  2 B 1.94
7 S 0.8750 0.8169 0.7500  2 B 1.94
8 S 0.5669 0.1250 0.2500  2 B 1.94

---

(11)
Density functional theory data (PBE) for LiMgCu3 after structural relaxation.

Calculated values
DFT formation energy in kJ/mol of atoms: 41
E above lowest polymorph in eV per atom: 0.494
Total DFT energy (no corrections) in eV/atom: -2.73

Lattice parameters (Å, degrees): 4.1864 4.1864 4.1864 90.00 90.00 90.00
With the nearest neighbours (Å) after each atom.
Positions (direct):
1 Cu 0.5000 0.0000 0.0000  2 Li 2.09
2 Cu 0.0000 0.0000 0.5000  2 Li 2.09
3 Cu 0.0000 0.5000 0.0000  2 Li 2.09
4 Mg 0.5000 0.5000 0.5000  12 Cu 2.96
5 Li 0.0000 0.0000 0.0000  6 Cu 2.09

---

- Which value of total DFT energy (no corrections) does entry 3 give?
  -3.42 eV/atom